Entry from Alexandria: a relaxed V12Ge5B3 crystal (PBE).

energy relative to the elements: 10.66 eV/f.u.
space-group type: Ia-3d, No. 230
VASP energy: -567.52 eV/cell

abc: 11.856 11.856 11.856
angles: 109.47 109.47 109.47
Atoms (fractional coordinates):
1 V 0.065 0.649 0.402
2 V 0.065 0.917 0.664
3 V 0.083 0.247 0.149
4 V 0.083 0.336 0.935
5 V 0.098 0.747 0.664
6 V 0.098 0.851 0.435
7 V 0.149 0.083 0.247
8 V 0.149 0.565 0.902
9 V 0.164 0.247 0.598
10 V 0.164 0.417 0.565
11 V 0.247 0.149 0.083
12 V 0.247 0.598 0.164
13 V 0.253 0.336 0.902
14 V 0.253 0.417 0.351
15 V 0.336 0.902 0.253
16 V 0.336 0.935 0.083
17 V 0.351 0.253 0.417
18 V 0.351 0.598 0.935
19 V 0.402 0.065 0.649
20 V 0.402 0.836 0.753
21 V 0.417 0.351 0.253
22 V 0.417 0.565 0.164
23 V 0.435 0.098 0.851
24 V 0.435 0.836 0.583
25 V 0.565 0.164 0.417
26 V 0.565 0.902 0.149
27 V 0.583 0.435 0.836
28 V 0.583 0.649 0.747
29 V 0.598 0.164 0.247
30 V 0.598 0.935 0.351
31 V 0.649 0.402 0.065
32 V 0.649 0.747 0.583
33 V 0.664 0.065 0.917
34 V 0.664 0.098 0.747
35 V 0.747 0.583 0.649
36 V 0.747 0.664 0.098
37 V 0.753 0.402 0.836
38 V 0.753 0.851 0.917
39 V 0.836 0.583 0.435
40 V 0.836 0.753 0.402
41 V 0.851 0.435 0.098
42 V 0.851 0.917 0.753
43 V 0.902 0.149 0.565
44 V 0.902 0.253 0.336
45 V 0.917 0.664 0.065
46 V 0.917 0.753 0.851
47 V 0.935 0.083 0.336
48 V 0.935 0.351 0.598
49 Ge 0.000 0.000 0.000
50 Ge 0.000 0.000 0.500
51 Ge 0.000 0.500 0.000
52 Ge 0.000 0.500 0.500
53 Ge 0.125 0.750 0.875
54 Ge 0.125 0.875 0.250
55 Ge 0.250 0.125 0.875
56 Ge 0.250 0.625 0.375
57 Ge 0.375 0.250 0.625
58 Ge 0.375 0.625 0.750
59 Ge 0.500 0.000 0.000
60 Ge 0.500 0.000 0.500
61 Ge 0.500 0.500 0.000
62 Ge 0.500 0.500 0.500
63 Ge 0.625 0.375 0.250
64 Ge 0.625 0.750 0.375
65 Ge 0.750 0.375 0.625
66 Ge 0.750 0.875 0.125
67 Ge 0.875 0.125 0.750
68 Ge 0.875 0.250 0.125
69 B 0.125 0.250 0.375
70 B 0.125 0.375 0.750
71 B 0.250 0.375 0.125
72 B 0.250 0.875 0.625
73 B 0.375 0.125 0.250
74 B 0.375 0.750 0.125
75 B 0.625 0.250 0.875
76 B 0.625 0.875 0.750
77 B 0.750 0.125 0.375
78 B 0.750 0.625 0.875
79 B 0.875 0.625 0.250
80 B 0.875 0.750 0.625